[1]
PmDy2Rh2 after structural relaxation. Source: the Alexandria database, functional PBE.

Properties
- ΔH_f (0 K) (eV/atom) = -0.579
- volume (Å³ per atom) = 24.66
- DOS at the Fermi energy (states/eV per cell) = 7.12

a b c (Å): 8.7151 8.7151 7.5029
angles (deg): 90.00 90.00 154.36
Last column: nearest neighbours and their distance in Å.
Element x y z (fractional)
1 Pm 0.1260 0.8740 0.5000  4 Rh 2.85-3.16
2 Pm 0.8740 0.1260 0.0000  4 Rh 2.85-3.16
3 Dy 0.3145 0.6855 0.3892  5 Rh 2.89-3.00
4 Dy 0.4690 0.5310 0.6679  5 Rh 2.82-2.98
5 Dy 0.5310 0.4690 0.1679  5 Rh 2.82-2.98
6 Dy 0.6855 0.3145 0.8892  5 Rh 2.89-3.00
7 Rh 0.0508 0.9492 0.8696  6 Dy 2.82-3.00, 1 Pm 3.05
8 Rh 0.3022 0.6978 0.7730  2 Pm 2.85, 4 Dy 2.89-2.94
9 Rh 0.6978 0.3022 0.2730  2 Pm 2.85, 4 Dy 2.89-2.94
10 Rh 0.9492 0.0508 0.3696  6 Dy 2.82-3.00, 1 Pm 3.05

[2]
NbCoCuIr after structural relaxation. Source: the Alexandria database, functional PBE.

Properties
- ΔH_f (0 K) (eV/atom) = -0.175
- volume (Å³ per atom) = 13.95
- DOS at the Fermi energy (states/eV per cell) = 0.67

a b c (Å): 4.2893 4.2893 4.2893
angles (deg): 60.00 60.00 60.00
Last column: nearest neighbours and their distance in Å.
Element x y z (fractional)
1 Nb 0.0000 0.0000 0.0000  4 Ir 2.63, 4 Co 2.63
2 Co 0.2500 0.2500 0.2500  4 Nb 2.63, 4 Cu 2.63
3 Cu 0.5000 0.5000 0.5000  4 Ir 2.63, 4 Co 2.63
4 Ir 0.7500 0.7500 0.7500  4 Nb 2.63, 4 Cu 2.63

[3]
CeDy2Ho3As6 after structural relaxation. Source: the Alexandria database, functional PBE.

Properties
- ΔH_f (0 K) (eV/atom) = -1.516
- volume (Å³ per atom) = 24.80
- DOS at the Fermi energy (states/eV per cell) = 5.94

a b c (Å): 9.2130 9.2130 8.2492
angles (deg): 102.92 102.92 25.89
Last column: nearest neighbours and their distance in Å.
Element x y z (fractional)
1 Ce 0.0000 0.0000 0.0000  6 As 2.93-2.94
2 Dy 0.3321 0.3321 0.6643  6 As 2.90-2.94
3 Dy 0.6679 0.6679 0.3357  6 As 2.90-2.94
4 Ho 0.0000 0.0000 0.5000  6 As 2.90-2.91
5 Ho 0.3328 0.3328 0.1683  6 As 2.89-2.92
6 Ho 0.6672 0.6672 0.8317  6 As 2.89-2.92
7 As 0.1662 0.1662 0.5839  3 Dy 2.90-2.91, 3 Ho 2.90-2.91
8 As 0.1674 0.1674 0.0827  3 Ho 2.89-2.92, 1 Ce 2.93, 2 Dy 2.93
9 As 0.5000 0.5000 0.2531  3 Ho 2.90-2.92, 1 Dy 2.94, 2 Ce 2.94
10 As 0.5000 0.5000 0.7469  3 Ho 2.90-2.92, 1 Dy 2.94, 2 Ce 2.94
11 As 0.8326 0.8326 0.9173  3 Ho 2.89-2.92, 1 Ce 2.93, 2 Dy 2.93
12 As 0.8338 0.8338 0.4161  3 Dy 2.90-2.91, 3 Ho 2.90-2.91

[4]
Mg2AlGa2 after structural relaxation. Source: the Alexandria database, functional PBE.

Properties
- ΔH_f (0 K) (eV/atom) = -0.078
- volume (Å³ per atom) = 19.46
- DOS at the Fermi energy (states/eV per cell) = 9.82

a b c (Å): 6.7276 6.7276 8.5973
angles (deg): 90.00 90.00 90.00
Last column: nearest neighbours and their distance in Å.
Element x y z (fractional)
1 Mg 0.1524 0.3168 0.0000  6 Ga 2.84-3.05, 2 Al 3.05
2 Mg 0.1832 0.3476 0.5000  6 Ga 2.84-3.05, 2 Al 3.05
3 Mg 0.3168 0.8476 0.0000  6 Ga 2.84-3.05, 2 Al 3.05
4 Mg 0.3476 0.8168 0.5000  6 Ga 2.84-3.05, 2 Al 3.05
5 Mg 0.6524 0.1832 0.5000  6 Ga 2.84-3.05, 2 Al 3.05
6 Mg 0.6832 0.1524 0.0000  6 Ga 2.84-3.05, 2 Al 3.05
7 Mg 0.8168 0.6524 0.5000  6 Ga 2.84-3.05, 2 Al 3.05
8 Mg 0.8476 0.6832 0.0000  6 Ga 2.84-3.05, 2 Al 3.05
9 Al 0.0000 0.0000 0.3227  4 Ga 2.68
10 Al 0.0000 0.0000 0.6773  4 Ga 2.68
11 Al 0.5000 0.5000 0.1773  4 Ga 2.68
12 Al 0.5000 0.5000 0.8227  4 Ga 2.68
13 Ga 0.1378 0.6378 0.2500  1 Ga 2.62, 2 Al 2.68, 4 Mg 2.84-2.92
14 Ga 0.1378 0.6378 0.7500  1 Ga 2.62, 2 Al 2.68, 4 Mg 2.84-2.92
15 Ga 0.3622 0.1378 0.2500  1 Ga 2.62, 2 Al 2.68, 4 Mg 2.84-2.92
16 Ga 0.3622 0.1378 0.7500  1 Ga 2.62, 2 Al 2.68, 4 Mg 2.84-2.92
17 Ga 0.6378 0.8622 0.2500  1 Ga 2.62, 2 Al 2.68, 4 Mg 2.84-2.92
18 Ga 0.6378 0.8622 0.7500  1 Ga 2.62, 2 Al 2.68, 4 Mg 2.84-2.92
19 Ga 0.8622 0.3622 0.2500  1 Ga 2.62, 2 Al 2.68, 4 Mg 2.84-2.92
20 Ga 0.8622 0.3622 0.7500  1 Ga 2.62, 2 Al 2.68, 4 Mg 2.84-2.92

[5]
Tl2RhPb2 after structural relaxation. Source: the Alexandria database, functional PBE.

Properties
- ΔH_f (0 K) (eV/atom) = 0.155
- volume (Å³ per atom) = 28.59
- DOS at the Fermi energy (states/eV per cell) = 7.01

a b c (Å): 7.1548 7.1548 5.5847
angles (deg): 90.00 90.00 90.00
Last column: nearest neighbours and their distance in Å.
Element x y z (fractional)
1 Tl 0.1709 0.3291 0.0000  2 Pb 3.27, 1 Tl 3.46
2 Tl 0.3291 0.8291 0.0000  2 Pb 3.27, 1 Tl 3.46
3 Tl 0.6709 0.1709 0.0000  2 Pb 3.27, 1 Tl 3.46
4 Tl 0.8291 0.6709 0.0000  2 Pb 3.27, 1 Tl 3.46
5 Rh 0.0000 0.0000 0.5000  4 Pb 2.69
6 Rh 0.5000 0.5000 0.5000  4 Pb 2.69
7 Pb 0.1609 0.6609 0.5000  2 Rh 2.69
8 Pb 0.3391 0.1609 0.5000  2 Rh 2.69
9 Pb 0.6609 0.8391 0.5000  2 Rh 2.69
10 Pb 0.8391 0.3391 0.5000  2 Rh 2.69

[6]
BaReN3 after structural relaxation. Source: the Alexandria database, functional PBE.

Properties
- calculated total energy (Ry/atom) = -0.5035
- volume (Å³ per atom) = 13.15
- DOS at the Fermi energy (states/eV per cell) = 5.49

a b c (Å): 4.2803 4.2803 8.2867
angles (deg): 90.00 90.00 120.00
Last column: nearest neighbours and their distance in Å.
Element x y z (fractional)
1 Ba 0.3333 0.6667 0.2500  5 N 2.47
2 Ba 0.6667 0.3333 0.7500  5 N 2.47
3 Re 0.0000 0.0000 0.0000  2 N 2.07
4 Re 0.0000 0.0000 0.5000  2 N 2.07
5 N 0.0000 0.0000 0.2500  2 Re 2.07
6 N 0.0000 0.0000 0.7500  2 Re 2.07
7 N 0.3333 0.6667 0.5484  1 Ba 2.47, 3 Re 2.50, 3 N 2.60
8 N 0.3333 0.6667 0.9516  1 Ba 2.47, 3 Re 2.50, 3 N 2.60
9 N 0.6667 0.3333 0.0484  1 Ba 2.47, 3 Re 2.50, 3 N 2.60
10 N 0.6667 0.3333 0.4516  1 Ba 2.47, 3 Re 2.50, 3 N 2.60